Record 1
Compound: SrZrN2O
Source: Alexandria via LeMat-Bulk
Functional: PBE-GGA
Structure: relaxed

Cell lengths 4.201, 4.201, 4.385 Å; angles 90.00, 90.00, 90.00 degrees
Space group P4/mmm (No. 123)
Unique sites:
Sr 0.000 0.000 0.000 x1
Zr 0.500 0.500 0.500 x1
N 0.000 0.500 0.000 x2
O 0.000 0.000 0.500 x1

V = 15.47 Å³/atom
DFT total energy = -5.56 eV per atom
Total magnetic moment = 0.0 μB/cell


Record 2
Compound: MnTeP2
Source: Alexandria via LeMat-Bulk
Functional: PBE-GGA
Structure: relaxed

Cell lengths 6.490, 6.490, 6.490 Å; angles 90.00, 90.00, 90.00 degrees
Space group F-43m (No. 216)
Unique sites:
Mn 0.000 0.000 0.000 x4
Te 0.250 0.250 0.250 x4
P 0.000 0.000 0.500 x4
P 0.250 0.250 0.750 x4

V = 17.08 Å³/atom
DFT total energy = -5.15 eV per atom
Total magnetic moment = 10.2 μB/cell